1.
Compound: CuH2Au
Source: the Alexandria database
Functional: GGA-PBE
Structure: optimized geometry

abc: 3.0819 3.0819 5.1154
angles: 72.47 72.47 60.00
Last column: nearest neighbours and their distance in Å.
Fractional coordinates of all 4 atoms:
H 0.8796 0.8796 0.3611  1 Au 1.73, 3 Cu 1.90
H 0.1204 0.1204 0.6389  1 Au 1.73, 3 Cu 1.90
Au 0.0000 0.0000 0.0000  2 H 1.73
Cu 0.5000 0.5000 0.5000  6 H 1.90

Calculated values
As for the total magnetic moment: 0.00 μB per cell. For the energy above the lowest structure with this stoichiometry, the calculation gives 0.00 eV per formula unit. The calculation puts the density at 11.051 g/cm³. Its space group is No. 166.

---

2.
Compound: Pr5Nd2Dy5
Source: the Alexandria database
Functional: GGA-PBE
Structure: optimized geometry

abc: 5.1299 8.1381 10.9223
angles: 72.77 76.42 71.63
Last column: nearest neighbours and their distance in Å.
Fractional coordinates of all 12 atoms:
Pr 0.0000 0.0000 0.0000  2 Nd 3.62, 2 Pr 3.62, 8 Dy 3.63-3.64
Pr 0.8350 0.8313 0.4987  2 Nd 3.62-3.67, 5 Dy 3.62-3.68, 5 Pr 3.66-3.67
Pr 0.1650 0.1687 0.5013  2 Nd 3.62-3.67, 5 Dy 3.62-3.68, 5 Pr 3.66-3.67
Pr 0.7507 0.2511 0.2475  6 Dy 3.61-3.66, 4 Pr 3.62-3.67, 2 Nd 3.64
Pr 0.2493 0.7489 0.7525  6 Dy 3.61-3.66, 4 Pr 3.62-3.67, 2 Nd 3.64
Dy 0.6671 0.6664 0.9995  5 Pr 3.61-3.64, 3 Nd 3.63, 4 Dy 3.63-3.64
Dy 0.4177 0.9158 0.2488  2 Nd 3.62, 7 Pr 3.63-3.68, 3 Dy 3.63-3.65
Dy 0.5000 0.5000 0.5000  6 Pr 3.62-3.66, 2 Dy 3.65, 4 Nd 3.65
Dy 0.3329 0.3336 0.0005  5 Pr 3.61-3.64, 3 Nd 3.63, 4 Dy 3.63-3.64
Dy 0.5823 0.0842 0.7512  2 Nd 3.62, 7 Pr 3.63-3.68, 3 Dy 3.63-3.65
Nd 0.0829 0.5861 0.2482  7 Dy 3.62-3.65, 5 Pr 3.62-3.67
Nd 0.9171 0.4139 0.7518  7 Dy 3.62-3.65, 5 Pr 3.62-3.67

Calculated values
As for the total magnetic moment: 0.00 μB per cell. The calculation puts the density at 7.344 g/cm³. Its space group is No. 12. The formation enthalpy at 0 K comes out at 17 meV per atom.

---

3.
Compound: CaSi4Pb
Source: the Alexandria database
Functional: GGA-PBE
Structure: optimized geometry

abc: 5.4970 5.4970 5.4970
angles: 60.00 60.00 60.00
Last column: nearest neighbours and their distance in Å.
Fractional coordinates of all 6 atoms:
Si 0.8939 0.3687 0.3687  6 Si 2.61-2.89
Si 0.3687 0.3687 0.3687  6 Si 2.61-2.89
Si 0.3687 0.8939 0.3687  6 Si 2.61-2.89
Si 0.3687 0.3687 0.8939  6 Si 2.61-2.89
Pb 0.0000 0.0000 0.0000  12 Si 3.21, 4 Ca 3.37
Ca 0.7500 0.7500 0.7500  12 Si 3.24, 4 Pb 3.37

Calculated values
As for the total magnetic moment: 0.00 μB per cell. Its formation energy (no corrections) is 0.132 eV per atom. The calculation puts the density at 5.084 g/cm³. Its space group is No. 216.

---

4.
Compound: K2SrMgI6
Source: the Alexandria database
Functional: GGA-PBE
Structure: optimized geometry

abc: 6.6779 8.5378 8.5378
angles: 90.00 90.00 90.00
Last column: nearest neighbours and their distance in Å.
Fractional coordinates of all 10 atoms:
K 0.0190 0.0000 0.5000  4 I 3.67
K 0.0190 0.5000 0.0000  4 I 3.67
I 0.7067 0.7655 0.2345  1 Mg 2.92, 1 Sr 3.24
I 0.7067 0.7655 0.7655  1 Mg 2.92, 1 Sr 3.24
I 0.1941 0.0000 0.0000  1 Mg 2.71
I 0.7067 0.2345 0.7655  1 Mg 2.92, 1 Sr 3.24
I 0.1514 0.5000 0.5000  2 Sr 3.24-3.43
I 0.7067 0.2345 0.2345  1 Mg 2.92, 1 Sr 3.24
Mg 0.5994 0.0000 0.0000  5 I 2.71-2.92
Sr 0.6371 0.5000 0.5000  6 I 3.24-3.43

Calculated values
As for the total magnetic moment: 0.00 μB per cell. Its formation energy (no corrections) is -1.337 eV per atom. The calculation puts the density at 3.246 g/cm³. Its space group is No. 99.

---

5.
Compound: Na2ScTiCl
Source: the Alexandria database
Functional: GGA-PBE
Structure: optimized geometry

abc: 6.0417 5.3152 6.0417
angles: 90.00 90.00 90.00
Last column: nearest neighbours and their distance in Å.
Fractional coordinates of all 5 atoms:
Ti 0.0000 0.0000 0.0000  2 Sc 2.66
Sc 0.0000 0.5000 0.0000  2 Ti 2.66
Na 0.0000 0.0000 0.5000  2 Ti 3.02
Na 0.5000 0.0000 0.0000  2 Ti 3.02
Cl 0.5000 0.5000 0.5000  8 Na 4.02, 4 Sc 4.27

Calculated values
As for the total magnetic moment: 5.93 μB per cell. Its formation energy (no corrections) is 0.722 eV per atom. The calculation puts the density at 1.491 g/cm³. Its space group is No. 123.

---

6.
Compound: NaCa2Pd
Source: the Alexandria database
Functional: GGA-PBE
Structure: optimized geometry

abc: 8.7623 8.7623 7.0709
angles: 51.71 51.71 90.00
Last column: nearest neighbours and their distance in Å.
Fractional coordinates of all 8 atoms:
Na 0.2500 0.7500 0.5000  2 Pd 3.41, 8 Ca 3.69-3.71
Na 0.5000 0.5000 0.0000  2 Pd 3.41, 8 Ca 3.69-3.71
Pd 0.0000 0.0000 0.0000  4 Ca 2.80
Pd 0.7500 0.2500 0.5000  4 Ca 2.80
Ca 0.7019 0.1250 0.2500  2 Pd 2.80
Ca 0.8750 0.9519 0.7500  2 Pd 2.80
Ca 0.0481 0.6250 0.2500  2 Pd 2.80
Ca 0.3750 0.2981 0.7500  2 Pd 2.80

Calculated values
As for the total magnetic moment: 0.00 μB per cell. For the energy above the lowest structure with this stoichiometry, the calculation gives 0.98 eV per formula unit. The calculation puts the density at 2.661 g/cm³. Its space group is No. 122. The formation enthalpy at 0 K comes out at -135 meV per atom.

---

7.
Compound: CsCuSi2
Source: the Alexandria database
Functional: GGA-PBE
Structure: optimized geometry

abc: 6.0367 3.8229 17.7974
angles: 90.00 99.64 90.00
Last column: nearest neighbours and their distance in Å.
Fractional coordinates of all 16 atoms:
Cu 0.4408 0.5000 0.5268  5 Si 2.32-2.56, 1 Cu 2.56
Cu 0.4408 0.0000 0.0268  5 Si 2.32-2.56, 1 Cu 2.56
Cu 0.8392 0.0000 0.9947  7 Si 2.44-2.69, 1 Cu 2.56
Cu 0.8392 0.5000 0.4947  7 Si 2.44-2.69, 1 Cu 2.56
Cs 0.7312 0.0000 0.6813  4 Cu 3.56-3.98, 3 Si 3.58-3.69, 4 Cs 3.82-3.94
Cs 0.2904 0.0000 0.8218  6 Si 3.59-3.93, 1 Cu 3.61, 4 Cs 3.82-3.94
Cs 0.2904 0.5000 0.3218  6 Si 3.59-3.93, 1 Cu 3.61, 4 Cs 3.82-3.94
Cs 0.7312 0.5000 0.1813  4 Cu 3.56-3.98, 3 Si 3.58-3.69, 4 Cs 3.82-3.94
Si 0.1558 0.0000 0.5081  4 Si 2.49-2.74, 4 Cu 2.56-2.69
Si 0.1587 0.0000 0.1005  2 Cu 2.32-2.46, 2 Si 2.52
Si 0.1558 0.5000 0.0081  4 Si 2.49-2.74, 4 Cu 2.56-2.69
Si 0.5854 0.0000 0.4779  4 Cu 2.33-2.44, 1 Si 2.37
Si 0.8535 0.0000 0.3945  2 Si 2.37-2.49, 2 Cu 2.63
Si 0.1587 0.5000 0.6005  2 Cu 2.32-2.46, 2 Si 2.52
Si 0.8535 0.5000 0.8945  2 Si 2.37-2.49, 2 Cu 2.63
Si 0.5854 0.5000 0.9779  4 Cu 2.33-2.44, 1 Si 2.37

Calculated values
As for the total magnetic moment: 0.00 μB per cell. Its formation energy (no corrections) is 0.069 eV per atom. For the energy above the lowest structure with this stoichiometry, the calculation gives 0.22 eV per formula unit. The calculation puts the density at 4.144 g/cm³. Its space group is No. 8.

---

8.
Compound: Cd2WCl
Source: the Alexandria database
Functional: GGA-PBE
Structure: optimized geometry

abc: 2.8886 4.9204 5.5481
angles: 90.00 90.00 90.00
Last column: nearest neighbours and their distance in Å.
Fractional coordinates of all 4 atoms:
W 0.0000 0.5000 0.5000  4 Cl 2.85, 2 W 2.89, 4 Cd 3.13
Cl 0.5000 0.0000 0.5000  4 W 2.85, 2 Cl 2.89, 4 Cd 3.13
Cd 0.5000 0.5000 0.0000  6 Cd 2.85-2.89, 4 W 3.13
Cd 0.0000 0.0000 0.0000  6 Cd 2.85-2.89, 4 Cl 3.13

Calculated values
As for the total magnetic moment: 1.45 μB per cell. Its formation energy (no corrections) is 0.749 eV per atom. For the energy above the lowest structure with this stoichiometry, the calculation gives 2.44 eV per formula unit. The calculation puts the density at 9.352 g/cm³. Its space group is No. 47.

---

9.
Compound: CsRhAu3
Source: the Alexandria database
Functional: GGA-PBE
Structure: optimized geometry

abc: 5.9750 5.9750 5.9750
angles: 90.00 90.00 90.00
Last column: nearest neighbours and their distance in Å.
Fractional coordinates of all 5 atoms:
Au 0.0000 0.5000 0.0000  2 Cs 2.99
Au 0.5000 0.0000 0.0000  2 Cs 2.99
Au 0.0000 0.0000 0.5000  2 Cs 2.99
Rh 0.5000 0.5000 0.5000  12 Au 4.22
Cs 0.0000 0.0000 0.0000  6 Au 2.99

Calculated values
As for the total magnetic moment: 2.09 μB per cell. The calculation puts the density at 6.436 g/cm³. Its space group is No. 221. The formation enthalpy at 0 K comes out at 1917 meV per atom.

---

10.
Compound: SmY3Sc2Se6
Source: the Alexandria database
Functional: GGA-PBE
Structure: optimized geometry

abc: 6.9971 6.9971 6.9855
angles: 99.57 99.57 120.17
Last column: nearest neighbours and their distance in Å.
Fractional coordinates of all 12 atoms:
Y 0.5000 0.5000 0.5000  6 Se 2.82-2.93
Y 0.8425 0.1575 0.5000  6 Se 2.87-2.92
Y 0.1575 0.8425 0.5000  6 Se 2.87-2.92
Sc 0.6637 0.3363 0.0000  6 Se 2.74-2.81
Sc 0.3363 0.6637 0.0000  6 Se 2.74-2.81
Se 0.9197 0.5700 0.7563  2 Sc 2.79-2.81, 3 Y 2.87-2.93, 1 Sm 2.92
Se 0.7310 0.7310 0.2374  2 Sc 2.74, 3 Y 2.82-2.87, 1 Sm 2.89
Se 0.0803 0.4300 0.2437  2 Sc 2.79-2.81, 3 Y 2.87-2.93, 1 Sm 2.92
Se 0.4300 0.0803 0.2437  2 Sc 2.79-2.81, 3 Y 2.87-2.93, 1 Sm 2.92
Se 0.2690 0.2690 0.7626  2 Sc 2.74, 3 Y 2.82-2.87, 1 Sm 2.89
Se 0.5700 0.9197 0.7563  2 Sc 2.79-2.81, 3 Y 2.87-2.93, 1 Sm 2.92
Sm 0.0000 0.0000 0.0000  6 Se 2.89-2.92

Calculated values
As for the total magnetic moment: 0.00 μB per cell. Its formation energy (no corrections) is -1.705 eV per atom. The calculation puts the density at 5.842 g/cm³. Its space group is No. 12.

---

11.
Compound: Mg3BeP
Source: the Alexandria database
Functional: GGA-PBE
Structure: optimized geometry

abc: 4.8358 4.8358 4.8358
angles: 90.00 90.00 90.00
Last column: nearest neighbours and their distance in Å.
Fractional coordinates of all 5 atoms:
Mg 0.0000 0.0000 0.5000  2 P 2.42
Mg 0.5000 0.0000 0.0000  2 P 2.42
Mg 0.0000 0.5000 0.0000  2 P 2.42
Be 0.5000 0.5000 0.5000  12 Mg 3.42
P 0.0000 0.0000 0.0000  6 Mg 2.42

Calculated values
As for the total magnetic moment: 0.00 μB per cell. For the energy above the lowest structure with this stoichiometry, the calculation gives 0.00 eV per formula unit. The calculation puts the density at 1.658 g/cm³. Its space group is No. 221. The formation enthalpy at 0 K comes out at 354 meV per atom.

---

12.
Compound: CsAl3Ge
Source: the Alexandria database
Functional: GGA-PBE
Structure: optimized geometry

abc: 5.8029 5.8029 5.8029
angles: 90.00 90.00 90.00
Last column: nearest neighbours and their distance in Å.
Fractional coordinates of all 5 atoms:
Ge 0.5000 0.5000 0.5000  12 Al 4.10
Al 0.5000 0.0000 0.0000  2 Cs 2.90
Al 0.0000 0.5000 0.0000  2 Cs 2.90
Al 0.0000 0.0000 0.5000  2 Cs 2.90
Cs 0.0000 0.0000 0.0000  6 Al 2.90

Calculated values
As for the total magnetic moment: 0.00 μB per cell. For the energy above the lowest structure with this stoichiometry, the calculation gives 6.53 eV per formula unit. The calculation puts the density at 2.435 g/cm³. Its space group is No. 221. The formation enthalpy at 0 K comes out at 1876 meV per atom.